*one*
Here is a relaxed CaBe2Fe crystal from the Alexandria database. Energies are from GGA-PBE.

a b c (Å): 5.1869 5.1869 5.1869
angles (deg): 149.56 126.21 63.06
Closest atoms and distances in Å follow each position.
Element x y z (fractional)
Be: 0.9932 0.9932 0.0000  2 Be 2.22, 2 Fe 2.33
Be: 0.7951 0.2951 0.5000  2 Be 2.22
Ca: 0.5043 0.5043 0.0000  8 Be 2.71-2.99, 2 Ca 2.72, 4 Fe 2.95-2.96
Fe: 0.2074 0.7074 0.5000  2 Be 2.33

M_tot: 2.15 Bohr magnetons per cell



*two*
Here is a relaxed CaBe2Fe crystal from the Alexandria database. Energies are from GGA-PBE.

a b c (Å): 3.7194 3.7194 5.5144
angles (deg): 70.25 70.25 60.02
Closest atoms and distances in Å follow each position.
Element x y z (fractional)
Be: 0.0085 0.0085 0.9742  3 Be 2.15, 3 Fe 2.20
Be: 0.6837 0.6837 0.9487  3 Be 2.15, 3 Fe 2.23-2.24
Ca: 0.4984 0.4984 0.5058  4 Be 2.83-3.11, 4 Fe 2.87-3.08
Fe: 0.3095 0.3095 0.0713  6 Be 2.20-2.24

M_tot: 0.00 Bohr magnetons per cell



*two* is preferred energetically. Next in line: 39.5 kJ/mol of atoms higher.



*one*
Here is a relaxed CaBe3Ga crystal from the Alexandria database. Energies are from GGA-PBE.

a b c (Å): 4.3297 4.3297 4.3297
angles (deg): 90.00 90.00 90.00
Closest atoms and distances in Å follow each position.
Element x y z (fractional)
Be: 0.0000 0.5000 0.0000  2 Ga 2.16
Be: 0.0000 0.0000 0.5000  2 Ga 2.16
Be: 0.5000 0.0000 0.0000  2 Ga 2.16
Ca: 0.5000 0.5000 0.5000  12 Be 3.06
Ga: 0.0000 0.0000 0.0000  6 Be 2.16

M_tot: 0.00 Bohr magnetons per cell



*two*
Here is a relaxed CaBe3Ga crystal from the Alexandria database. Energies are from GGA-PBE.

a b c (Å): 5.2602 5.2602 5.2602
angles (deg): 90.00 90.00 90.00
Closest atoms and distances in Å follow each position.
Element x y z (fractional)
Be: 0.0000 0.5000 0.0000  2 Ca 2.63
Be: 0.0000 0.0000 0.5000  2 Ca 2.63
Be: 0.5000 0.0000 0.0000  2 Ca 2.63
Ca: 0.0000 0.0000 0.0000  6 Be 2.63
Ga: 0.5000 0.5000 0.5000  12 Be 3.72

M_tot: 0.00 Bohr magnetons per cell



*one* is preferred energetically. Next in line: 138.4 kJ/mol of atoms higher.